Compound: SiAs4Pb
Source: Alexandria
Functional: GGA-PBE
Structure: relaxed

POSCAR file:
```
SiAs4Pb
1.0
-4.8797 2.8033 1.0958
-2.3333 3.3686 -4.0098
-4.8598 -1.5808 -2.5988
As Pb Si
4 1 1
direct
0.8941 0.3686 0.3686
0.3686 0.8941 0.3686
0.3686 0.3686 0.8941
0.3686 0.3686 0.3686
0.7500 0.7500 0.7500
0.0000 0.0000 0.0000
```

E   -24.6 eV/cell
Raw formation energy   0.52 eV per atom

---

Compound: Si2AsPb
Source: Alexandria
Functional: GGA-PBE
Structure: relaxed

POSCAR file:
```
Si2AsPb
1.0
-3.3016 -1.3630 0.4423
1.3869 -2.2668 3.3672
-0.9873 3.8582 4.5194
As Si Pb
1 2 1
direct
0.0000 0.4648 0.4343
0.5000 0.3059 0.1659
0.0000 0.9370 0.1368
0.5000 0.7924 0.7630
```

E   -18.2 eV/cell
Energy above the lowest structure with this stoichiometry   0.014 eV/atom
Raw formation energy   0.26 eV per atom

---

Compound: Si2AsPb
Source: Alexandria
Functional: GGA-PBE
Structure: relaxed

POSCAR file:
```
Si2AsPb
1.0
5.7727 0.2077 0.0000
2.6277 5.1442 0.0000
-4.2002 -2.6759 2.9266
Pb Si As
1 2 1
direct
0.7500 0.2500 0.5000
0.0000 0.0000 0.0000
0.5000 0.5000 0.0000
0.2500 0.7500 0.5000
```

E   -16.6 eV/cell
Energy above the lowest structure with this stoichiometry   0.392 eV/atom
Raw formation energy   0.64 eV per atom

---

Compound: SiAsPb2
Source: Alexandria
Functional: GGA-PBE
Structure: relaxed

POSCAR file:
```
SiAsPb2
1.0
-5.1453 0.5348 -1.4243
-3.9639 -2.5377 -2.5759
-2.7167 -2.7080 4.4381
Pb Si As
2 1 1
direct
0.0027 0.0027 0.0001
0.4973 0.4973 0.4999
0.7500 0.7500 0.7500
0.2500 0.2500 0.2500
```

E   -15.6 eV/cell
Energy above the lowest structure with this stoichiometry   0.372 eV/atom
Raw formation energy   0.47 eV per atom

---

Compound: Si2AsPb
Source: Alexandria
Functional: GGA-PBE
Structure: relaxed

POSCAR file:
```
Si2AsPb
1.0
-0.0881 4.5571 4.3907
3.0219 -3.8278 4.0335
6.1510 2.1782 2.4238
Si Pb As
4 2 2
direct
0.1645 0.6250 0.2500
0.3750 0.4145 0.7500
0.5855 0.1250 0.2500
0.8750 0.8355 0.7500
0.7500 0.2500 0.5000
0.0000 0.0000 0.0000
0.2500 0.7500 0.5000
0.5000 0.5000 0.0000
```

E   -35.2 eV/cell
Energy above the lowest structure with this stoichiometry   0.150 eV/atom
Raw formation energy   0.40 eV per atom

---

Compound: SiAsPb
Source: Alexandria
Functional: GGA-PBE
Structure: relaxed

POSCAR file:
```
SiAsPb
1.0
-2.6214 3.3795 -2.0207
-4.3616 -0.9926 -1.5385
-3.7638 1.7485 2.2701
Pb As Si
1 1 1
direct
0.5000 0.5000 0.5000
0.0000 0.0000 0.0000
0.2500 0.2500 0.2500
```

E   -12.4 eV/cell
Energy above the lowest structure with this stoichiometry   0.331 eV/atom
Raw formation energy   0.46 eV per atom

---

Compound: Si2AsPb
Source: Alexandria
Functional: GGA-PBE
Structure: relaxed

POSCAR file:
```
Si2AsPb
1.0
5.8179 0.0005 0.0000
2.9330 5.0245 0.0000
-4.3754 -2.5125 2.8967
As Si Pb
1 2 1
direct
0.5000 0.5000 0.0000
0.2500 0.7500 0.5000
0.0000 0.0000 0.0000
0.7500 0.2500 0.5000
```

E   -16.7 eV/cell
Energy above the lowest structure with this stoichiometry   0.381 eV/atom
Raw formation energy   0.63 eV per atom

---

Compound: SiAsPb2
Source: Alexandria
Functional: GGA-PBE
Structure: relaxed

POSCAR file:
```
SiAsPb2
1.0
-5.9086 1.6778 0.6523
-3.3844 -2.9996 4.2072
4.9917 3.4985 -0.9978
Pb Si As
2 1 1
direct
0.0101 0.0101 0.0000
0.7207 0.2207 0.5000
0.4640 0.4640 0.0000
0.3053 0.8053 0.5000
```

E   -16.7 eV/cell
Energy above the lowest structure with this stoichiometry   0.101 eV/atom
Raw formation energy   0.20 eV per atom

---

Compound: SiAs2Pb
Source: Alexandria
Functional: GGA-PBE
Structure: relaxed

POSCAR file:
```
SiAs2Pb
1.0
-1.0762 -4.2345 2.0348
3.8936 1.0918 2.6224
-2.2084 1.7807 2.5376
As Si Pb
2 1 1
direct
0.0000 0.0000 0.0000
0.5000 0.5000 0.0000
0.0000 0.5000 0.5000
0.5000 0.0000 0.5000
```

E   -16.5 eV/cell
Energy above the lowest structure with this stoichiometry   0.450 eV/atom
Raw formation energy   0.48 eV per atom

---

Compound: SiAs2Pb
Source: Alexandria
Functional: GGA-PBE
Structure: relaxed

POSCAR file:
```
SiAs2Pb
1.0
5.8418 -0.0259 -0.0849
-2.6037 5.2581 -0.0256
0.6345 0.8564 2.8051
As Pb Si
2 1 1
direct
0.5000 0.0000 0.5000
0.0000 0.0000 0.0000
0.0000 0.5000 0.5000
0.5000 0.5000 0.0000
```

E   -16.3 eV/cell
Energy above the lowest structure with this stoichiometry   0.490 eV/atom
Raw formation energy   0.52 eV per atom

---

Compound: SiAs2Pb
Source: Alexandria
Functional: GGA-PBE
Structure: relaxed

POSCAR file:
```
SiAs2Pb
1.0
3.3096 0.0000 0.0000
0.0000 3.3096 0.0000
0.0000 0.0000 7.8636
As Si Pb
2 1 1
direct
0.0000 0.0000 0.5701
0.0000 0.0000 0.9299
0.5000 0.5000 0.7500
0.5000 0.5000 0.2500
```

E   -17.1 eV/cell
Energy above the lowest structure with this stoichiometry   0.289 eV/atom
Raw formation energy   0.32 eV per atom

---

Compound: Si2AsPb
Source: Alexandria
Functional: GGA-PBE
Structure: relaxed

POSCAR file:
```
Si2AsPb
1.0
0.0000 3.4504 3.4504
3.4504 0.0000 3.4504
3.4504 3.4504 0.0000
Pb Si As
1 2 1
direct
0.5000 0.5000 0.5000
0.7500 0.7500 0.7500
0.2500 0.2500 0.2500
0.0000 0.0000 0.0000
```

E   -16.7 eV/cell
Energy above the lowest structure with this stoichiometry   0.379 eV/atom
Raw formation energy   0.63 eV per atom

---

Compound: Si4AsPb
Source: Alexandria
Functional: GGA-PBE
Structure: relaxed

POSCAR file:
```
Si4AsPb
1.0
0.0000 3.8198 3.8198
3.8198 0.0000 3.8198
3.8198 3.8198 0.0000
Si As Pb
4 1 1
direct
0.8686 0.3771 0.3771
0.3771 0.8686 0.3771
0.3771 0.3771 0.3771
0.3771 0.3771 0.8686
0.7500 0.7500 0.7500
0.0000 0.0000 0.0000
```

E   -26.6 eV/cell
Raw formation energy   0.57 eV per atom

---

Compound: SiAs2Pb2
Source: Alexandria
Functional: GGA-PBE
Structure: relaxed

POSCAR file:
```
SiAs2Pb2
1.0
7.6273 0.0000 0.0000
0.0000 7.6273 0.0000
0.0000 0.0000 4.3127
Si Pb As
2 4 4
direct
0.0000 0.0000 0.0000
0.5000 0.5000 0.0000
0.3475 0.1525 0.5000
0.1525 0.6525 0.5000
0.8475 0.3475 0.5000
0.6525 0.8475 0.5000
0.8329 0.6671 0.0000
0.3329 0.8329 0.0000
0.1671 0.3329 0.0000
0.6671 0.1671 0.0000
```

E   -41.1 eV/cell
Raw formation energy   0.32 eV per atom